# KYPdAu2, PBEsol geometry, DFT meta-GGA SCAN
# ΔH_f (0 K): -0.4 eV per formula unit
# E_tot: -41.5281 eV per atom
data_KYPdAu2
_cell_length_a 5.4629
_cell_length_b 5.4629
_cell_length_c 5.1030
_cell_angle_alpha 90.00
_cell_angle_beta 90.00
_cell_angle_gamma 90.00
_symmetry_space_group_name_H-M 'P 1'
_symmetry_Int_Tables_number 1
_symmetry_space_group_name_Hall 'P 1'
loop_
_atom_site_label
_atom_site_fract_x
_atom_site_fract_y
_atom_site_fract_z
K1 0.0000 0.0000 0.0000
Y1 0.5000 0.5000 0.5000
Pd1 0.5000 0.5000 0.0000
Au1 0.0000 0.5000 0.5000
Au2 0.5000 0.0000 0.5000